Material: MnNb3Rh6
Method: DFT, PBE-GGA
State: optimized geometry

a = 7.5196 Å, b = 4.4853 Å, c = 9.6210 Å
α = 90.00°, β = 110.21°, γ = 90.00°
Fractional positions:
Mn 0.1072 0.2500 0.0632
Mn 0.8928 0.7500 0.9368
Nb 0.0682 0.7500 0.7329
Nb 0.2980 0.7500 0.5266
Nb 0.3314 0.2500 0.8713
Nb 0.6686 0.7500 0.1287
Nb 0.7020 0.2500 0.4734
Nb 0.9318 0.2500 0.2671
Rh 0.0954 0.7500 0.2234
Rh 0.1087 0.2500 0.5745
Rh 0.2843 0.7500 0.0250
Rh 0.3027 0.2500 0.3629
Rh 0.4942 0.7500 0.3314
Rh 0.4980 0.2500 0.1710
Rh 0.5020 0.7500 0.8290
Rh 0.5058 0.2500 0.6686
Rh 0.6973 0.7500 0.6371
Rh 0.7157 0.2500 0.9750
Rh 0.8913 0.7500 0.4255
Rh 0.9046 0.2500 0.7766

* uncorrected energy: -174.8 eV/cell
* Fermi-level density of states: 17.803 states/eV/cell
* calculated formation energy: -3.918 eV per formula unit
* mass density: 10.4 g/cm3



Material: Mn2NbRh
Method: DFT, PBE-GGA
State: optimized geometry

a = 3.1360 Å, b = 3.1360 Å, c = 5.9242 Å
α = 90.00°, β = 90.00°, γ = 90.00°
Fractional positions:
Mn 0.0000 0.0000 0.2491
Mn 0.0000 0.0000 0.7509
Nb 0.5000 0.5000 0.5000
Rh 0.5000 0.5000 0.0000

* uncorrected energy: -36.0 eV/cell
* Fermi-level density of states: 3.655 states/eV/cell
* calculated formation energy: -0.191 eV per formula unit
* mass density: 8.7 g/cm3



Material: MnNb3Rh
Method: DFT, PBE-GGA
State: optimized geometry

a = 4.5277 Å, b = 4.5277 Å, c = 4.5277 Å
α = 90.00°, β = 90.00°, γ = 90.00°
Fractional positions:
Mn 0.0000 0.0000 0.0000
Nb 0.0000 0.0000 0.5000
Nb 0.0000 0.5000 0.0000
Nb 0.5000 0.0000 0.0000
Rh 0.5000 0.5000 0.5000

* uncorrected energy: -43.1 eV/cell
* Fermi-level density of states: 7.594 states/eV/cell
* calculated formation energy: 3.633 eV per formula unit
* mass density: 7.8 g/cm3



Material: MnNb3Rh4
Method: DFT, PBE-GGA
State: optimized geometry

a = 9.0081 Å, b = 5.6967 Å, c = 4.8253 Å
α = 90.00°, β = 90.00°, γ = 90.00°
Fractional positions:
Mn 0.0000 0.0000 0.0000
Mn 0.5000 0.0000 0.0000
Nb 0.0000 0.5000 0.0000
Nb 0.2500 0.0000 0.3447
Nb 0.2500 0.5000 0.3810
Nb 0.5000 0.5000 0.0000
Nb 0.7500 0.0000 0.6553
Nb 0.7500 0.5000 0.6190
Rh 0.0000 0.2450 0.5000
Rh 0.0000 0.7550 0.5000
Rh 0.2500 0.2420 0.8625
Rh 0.2500 0.7580 0.8625
Rh 0.5000 0.2450 0.5000
Rh 0.5000 0.7550 0.5000
Rh 0.7500 0.2420 0.1375
Rh 0.7500 0.7580 0.1375

* uncorrected energy: -143.4 eV/cell
* Fermi-level density of states: 13.833 states/eV/cell
* calculated formation energy: -2.914 eV per formula unit
* mass density: 10.0 g/cm3



Material: Mn2Nb2RhS6
Method: DFT, PBE-GGA
State: optimized geometry

a = 6.2419 Å, b = 6.2419 Å, c = 6.3304 Å
α = 97.25°, β = 97.25°, γ = 124.50°
Fractional positions:
Mn 0.1671 0.8329 0.0000
Mn 0.8329 0.1671 0.0000
Nb 0.3712 0.6288 0.5000
Nb 0.6288 0.3712 0.5000
Rh 0.0000 0.0000 0.5000
S 0.0533 0.4280 0.7378
S 0.2327 0.2327 0.2295
S 0.4280 0.0533 0.7378
S 0.5720 0.9467 0.2622
S 0.7673 0.7673 0.7705
S 0.9467 0.5720 0.2622

* uncorrected energy: -77.3 eV/cell
* Fermi-level density of states: 4.999 states/eV/cell
* raw formation energy: -6.7 eV/f.u.
* mass density: 5.0 g/cm3



Material: ScMnNbRh2
Method: DFT, PBE-GGA
State: optimized geometry

a = 4.5504 Å, b = 4.5504 Å, c = 4.4573 Å
α = 90.00°, β = 90.00°, γ = 90.00°
Fractional positions:
Sc 0.0000 0.0000 0.0000
Mn 0.5000 0.5000 0.5000
Nb 0.5000 0.5000 0.0000
Rh 0.0000 0.5000 0.5000
Rh 0.5000 0.0000 0.5000

* uncorrected energy: -38.3 eV/cell
* Fermi-level density of states: 6.196 states/eV/cell
* calculated formation energy: 2.006 eV per formula unit
* mass density: 7.2 g/cm3



Material: TaMnNbRh
Method: DFT, PBE-GGA
State: optimized geometry

a = 4.4656 Å, b = 4.4656 Å, c = 4.4656 Å
α = 60.00°, β = 60.00°, γ = 60.00°
Fractional positions:
Ta 0.0000 0.0000 0.0000
Mn 0.5000 0.5000 0.5000
Nb 0.7500 0.7500 0.7500
Rh 0.2500 0.2500 0.2500

* uncorrected energy: -39.2 eV/cell
* Fermi-level density of states: 1.843 states/eV/cell
* calculated formation energy: -0.716 eV per formula unit
* mass density: 11.4 g/cm3



Material: MnNb2TcRh
Method: DFT, PBE-GGA
State: optimized geometry

a = 4.7529 Å, b = 4.7529 Å, c = 4.6181 Å
α = 90.00°, β = 90.00°, γ = 90.00°
Fractional positions:
Mn 0.0000 0.0000 0.0000
Nb 0.0000 0.5000 0.5000
Nb 0.5000 0.0000 0.5000
Tc 0.5000 0.5000 0.0000
Rh 0.5000 0.5000 0.5000

* uncorrected energy: -38.5 eV/cell
* Fermi-level density of states: 7.447 states/eV/cell
* calculated formation energy: 8.554 eV per formula unit
* mass density: 7.0 g/cm3